(1)
{
  "formula": "ZnAgPO4",
  "functional": "GGA-PBE",
  "state": "optimized geometry",
  "cell": [[5.229, 0.000, 0.000], [0.000, 10.621, 0.000], [-5.108, 0.000, 7.428]],
  "species": ["Zn", "Zn", "Zn", "Zn", "Ag", "Ag", "Ag", "Ag", "P", "P", "P", "P", "O", "O", "O", "O", "O", "O", "O", "O", "O", "O", "O", "O", "O", "O", "O", "O"],
  "fractional_positions": [[0.164, 0.157, 0.474], [0.164, 0.343, 0.974], [0.836, 0.657, 0.026], [0.836, 0.843, 0.526], [0.325, 0.606, 0.519], [0.325, 0.894, 0.019], [0.675, 0.106, 0.981], [0.675, 0.394, 0.481], [0.105, 0.607, 0.793], [0.105, 0.893, 0.293], [0.895, 0.107, 0.707], [0.895, 0.393, 0.207], [0.015, 0.035, 0.275], [0.015, 0.465, 0.775], [0.137, 0.665, 0.961], [0.137, 0.835, 0.461], [0.158, 0.171, 0.885], [0.158, 0.329, 0.385], [0.417, 0.624, 0.811], [0.417, 0.876, 0.311], [0.583, 0.124, 0.689], [0.583, 0.376, 0.189], [0.842, 0.671, 0.615], [0.842, 0.829, 0.115], [0.863, 0.165, 0.539], [0.863, 0.335, 0.039], [0.985, 0.535, 0.225], [0.985, 0.965, 0.725]],
  "dos_at_fermi_per_ev_cell": 0.0,
  "volume_a3_per_atom": 14.7,
  "space_group": "P2_1/c",
  "magmom_total_mub_per_fu": 0.0,
  "dft_energy_ha_per_atom": -0.2139,
  "relative_energy_ev_per_atom": 0.000,
  "formation_energy_uncorrected_ev_per_atom": -1.6253
}

---

(2)
{
  "formula": "Cs3AgF8",
  "functional": "GGA-PBE",
  "state": "optimized geometry",
  "cell": [[8.871, 0.000, 0.000], [-4.436, 7.683, 0.000], [0.000, 0.000, 7.820]],
  "species": ["Cs", "Cs", "Cs", "Cs", "Cs", "Cs", "Ag", "Ag", "F", "F", "F", "F", "F", "F", "F", "F", "F", "F", "F", "F", "F", "F", "F", "F"],
  "fractional_positions": [[0.159, 0.318, 0.000], [0.159, 0.841, 0.000], [0.318, 0.159, 0.500], [0.682, 0.841, 0.000], [0.841, 0.159, 0.500], [0.841, 0.682, 0.500], [0.333, 0.667, 0.528], [0.667, 0.333, 0.028], [0.000, 0.000, 0.247], [0.000, 0.000, 0.747], [0.119, 0.560, 0.671], [0.224, 0.449, 0.391], [0.224, 0.776, 0.391], [0.333, 0.667, 0.034], [0.440, 0.560, 0.671], [0.440, 0.881, 0.671], [0.449, 0.224, 0.891], [0.551, 0.776, 0.391], [0.560, 0.119, 0.171], [0.560, 0.440, 0.171], [0.667, 0.333, 0.534], [0.776, 0.224, 0.891], [0.776, 0.551, 0.891], [0.881, 0.440, 0.171]],
  "dos_at_fermi_per_ev_cell": 24.2,
  "volume_a3_per_atom": 22.2,
  "space_group": "P6_3mc",
  "magmom_total_mub_per_fu": 1.1,
  "dft_energy_ha_per_atom": -0.1286,
  "formation_energy_uncorrected_ev_per_atom": -1.8005
}

---

(3)
{
  "formula": "UMnGaOs",
  "functional": "GGA-PBE",
  "state": "optimized geometry",
  "cell": [[0.000, 3.199, 3.199], [3.199, 0.000, 3.199], [3.199, 3.199, 0.000]],
  "species": ["U", "Mn", "Ga", "Os"],
  "fractional_positions": [[0.000, 0.000, 0.000], [0.750, 0.750, 0.750], [0.500, 0.500, 0.500], [0.250, 0.250, 0.250]],
  "dos_at_fermi_per_ev_cell": 6.5,
  "volume_a3_per_atom": 16.4,
  "space_group": "F-43m",
  "magmom_total_mub_per_fu": 0.3,
  "dft_energy_ha_per_atom": -0.3187,
  "delta_e_f_mev_per_atom": 6
}

---

(4)
{
  "formula": "Cd3HgPb6",
  "functional": "GGA-PBE",
  "state": "optimized geometry",
  "cell": [[4.698, -9.805, 0.000], [4.698, 9.805, 0.000], [0.000, 0.000, 6.354]],
  "species": ["Cd", "Cd", "Cd", "Cd", "Cd", "Cd", "Hg", "Hg", "Pb", "Pb", "Pb", "Pb", "Pb", "Pb", "Pb", "Pb", "Pb", "Pb", "Pb", "Pb"],
  "fractional_positions": [[0.108, 0.892, 0.500], [0.201, 0.446, 0.747], [0.446, 0.201, 0.247], [0.554, 0.799, 0.747], [0.799, 0.554, 0.247], [0.892, 0.108, 0.000], [0.260, 0.740, 0.589], [0.740, 0.260, 0.089], [0.110, 0.488, 0.209], [0.152, 0.215, 0.387], [0.174, 0.826, 0.039], [0.215, 0.152, 0.887], [0.461, 0.539, 0.130], [0.488, 0.110, 0.709], [0.512, 0.890, 0.209], [0.539, 0.461, 0.630], [0.785, 0.848, 0.387], [0.826, 0.174, 0.539], [0.848, 0.785, 0.887], [0.890, 0.512, 0.709]],
  "dos_at_fermi_per_ev_cell": 7.7,
  "volume_a3_per_atom": 29.3,
  "space_group": "Cmc2_1",
  "magmom_total_mub_per_fu": 0.0,
  "dft_energy_ha_per_atom": -0.0911,
  "relative_energy_ev_per_atom": 0.000,
  "delta_e_f_mev_per_atom": 51
}

---

(5)
{
  "formula": "Pm2Te3",
  "functional": "GGA-PBE",
  "state": "optimized geometry",
  "cell": [[12.288, 0.000, 0.000], [0.000, 4.404, 0.000], [0.000, 0.000, 11.962]],
  "species": ["Pm", "Pm", "Pm", "Pm", "Pm", "Pm", "Pm", "Pm", "Te", "Te", "Te", "Te", "Te", "Te", "Te", "Te", "Te", "Te", "Te", "Te"],
  "fractional_positions": [[0.017, 0.250, 0.188], [0.197, 0.250, 0.497], [0.303, 0.750, 0.997], [0.483, 0.750, 0.688], [0.517, 0.250, 0.312], [0.697, 0.250, 0.003], [0.803, 0.750, 0.503], [0.983, 0.750, 0.812], [0.042, 0.750, 0.377], [0.119, 0.250, 0.943], [0.225, 0.750, 0.697], [0.275, 0.250, 0.197], [0.381, 0.750, 0.443], [0.458, 0.250, 0.877], [0.542, 0.750, 0.123], [0.619, 0.250, 0.557], [0.725, 0.750, 0.803], [0.775, 0.250, 0.303], [0.881, 0.750, 0.057], [0.958, 0.250, 0.623]],
  "dos_at_fermi_per_ev_cell": 1.0,
  "volume_a3_per_atom": 32.4,
  "space_group": "Pnma",
  "magmom_total_mub_per_fu": 0.0,
  "dft_energy_ha_per_atom": -0.1926,
  "formation_energy_uncorrected_ev_per_atom": -1.4557
}

---

(6)
{
  "formula": "KSc2PdO4",
  "functional": "GGA-PBE",
  "state": "optimized geometry",
  "cell": [[-2.438, 2.438, 5.532], [2.438, -2.438, 5.532], [2.438, 2.438, -5.532]],
  "species": ["K", "Sc", "Sc", "Pd", "O", "O", "O", "O"],
  "fractional_positions": [[0.000, 0.000, 0.000], [0.250, 0.750, 0.500], [0.750, 0.250, 0.500], [0.500, 0.500, 0.000], [0.121, 0.121, 0.558], [0.437, 0.879, 0.000], [0.563, 0.563, 0.442], [0.879, 0.437, 0.000]],
  "dos_at_fermi_per_ev_cell": 5.8,
  "volume_a3_per_atom": 16.4,
  "space_group": "I-42m",
  "magmom_total_mub_per_fu": 1.0,
  "dft_energy_ha_per_atom": -0.2582,
  "formation_energy_uncorrected_ev_per_atom": -2.1771
}

---

(7)
{
  "formula": "Cu2BrCl",
  "functional": "GGA-PBE",
  "state": "optimized geometry",
  "cell": [[-1.739, 1.760, 7.020], [1.739, -1.760, 7.020], [1.739, 1.760, -7.020]],
  "species": ["Cu", "Cu", "Br", "Cl"],
  "fractional_positions": [[0.000, 0.000, 0.000], [0.862, 0.362, 0.500], [0.308, 0.808, 0.500], [0.541, 0.541, 0.000]],
  "dos_at_fermi_per_ev_cell": 0.2,
  "volume_a3_per_atom": 21.5,
  "space_group": "Imm2",
  "magmom_total_mub_per_fu": 0.0,
  "dft_energy_ha_per_atom": -0.1119,
  "relative_energy_ev_per_atom": 0.188,
  "formation_energy_uncorrected_ev_per_atom": -0.1163
}

---

(8)
{
  "formula": "Tb3Y4Er2",
  "functional": "GGA-PBE",
  "state": "optimized geometry",
  "cell": [[8.158, -5.775, 0.000], [8.158, 5.775, 0.000], [-0.652, 0.000, 6.068]],
  "species": ["Tb", "Tb", "Tb", "Tb", "Tb", "Tb", "Y", "Y", "Y", "Y", "Y", "Y", "Y", "Y", "Er", "Er", "Er", "Er"],
  "fractional_positions": [[0.095, 0.905, 0.750], [0.235, 0.431, 0.919], [0.431, 0.235, 0.419], [0.569, 0.765, 0.581], [0.765, 0.569, 0.081], [0.905, 0.095, 0.250], [0.073, 0.350, 0.348], [0.312, 0.595, 0.487], [0.350, 0.073, 0.848], [0.405, 0.688, 0.013], [0.595, 0.312, 0.987], [0.650, 0.927, 0.152], [0.688, 0.405, 0.513], [0.927, 0.650, 0.652], [0.022, 0.740, 0.179], [0.260, 0.978, 0.321], [0.740, 0.022, 0.679], [0.978, 0.260, 0.821]],
  "dos_at_fermi_per_ev_cell": 28.1,
  "volume_a3_per_atom": 31.8,
  "space_group": "C2/c",
  "magmom_total_mub_per_fu": 0.0,
  "dft_energy_ha_per_atom": -0.1958,
  "relative_energy_ev_per_atom": 0.081,
  "delta_e_f_mev_per_atom": 101
}